Computed, not measured: crystalline Zn2IrW at its relaxed geometry at the GGA-PBE level of DFT.

Lattice parameters (Å, degrees): 4.667 4.667 4.838 82.73 82.73 34.77
Positions (direct):
1 Ir 0.500 0.500 0.521
2 W 0.753 0.753 0.726
3 Zn 0.000 0.000 0.024
4 Zn 0.247 0.247 0.229

Output
energy above the lowest structure with this stoichiometry = 145.4 meV/atom
final energy = -0.4442 Ry/atom
SG = No. 8
crystal system = monoclinic
total magnetization = 0.0 μB/cell
energy relative to the elements = 0.047 eV per atom